Computed, not measured: crystalline GaPPdO at its relaxed geometry at the GGA-PBE level of DFT. Values from VASP.

Geometry as Quantum ESPRESSO input:
```
&SYSTEM
  ibrav = 0, nat = 8, ntyp = 4
/
ATOMIC_SPECIES
Ga 69.72 Ga.upf
O 16.00 O.upf
P 30.97 P.upf
Pd 106.42 Pd.upf
CELL_PARAMETERS angstrom
3.9785 0.0000 0.0000
0.0000 7.0512 0.0000
0.0000 0.0000 4.7168
ATOMIC_POSITIONS angstrom
Ga 0.0000 6.0958 0.0240
Ga 0.0000 0.9555 2.3824
O 0.0000 6.2024 1.9138
O 0.0000 0.8488 4.2722
P 1.9893 2.1343 1.9631
P 1.9893 4.9169 4.3215
Pd 1.9893 4.3843 2.0139
Pd 1.9893 2.6669 4.3723
```

Properties
V = 132.32 Å³ per cell
Raw total energy = -5.334 eV/atom
Energy above the lowest structure with this stoichiometry = 0 meV per atom


Computed, not measured: crystalline GaPPdO at its relaxed geometry at the GGA-PBE level of DFT. Values from VASP.

Geometry as Quantum ESPRESSO input:
```
&SYSTEM
  ibrav = 0, nat = 8, ntyp = 4
/
ATOMIC_SPECIES
Ga 69.72 Ga.upf
O 16.00 O.upf
P 30.97 P.upf
Pd 106.42 Pd.upf
CELL_PARAMETERS angstrom
4.0489 0.0000 0.0000
0.0000 4.0489 0.0000
0.0000 0.0000 7.9873
ATOMIC_POSITIONS angstrom
Ga 3.0367 1.0122 3.9936
Ga 1.0122 3.0367 3.9936
O 3.0367 1.0122 0.0000
O 1.0122 3.0367 0.0000
P 3.0367 3.0367 2.5694
P 1.0122 1.0122 5.4178
Pd 1.0122 1.0122 0.5301
Pd 3.0367 3.0367 7.4572
```

Properties
V = 130.94 Å³ per cell
Raw total energy = -4.618 eV/atom
Energy above the lowest structure with this stoichiometry = 716 meV per atom


Computed, not measured: crystalline GaPPdO at its relaxed geometry at the GGA-PBE level of DFT. Values from VASP.

Geometry as Quantum ESPRESSO input:
```
&SYSTEM
  ibrav = 0, nat = 8, ntyp = 4
/
ATOMIC_SPECIES
Ga 69.72 Ga.upf
O 16.00 O.upf
P 30.97 P.upf
Pd 106.42 Pd.upf
CELL_PARAMETERS angstrom
3.8138 0.0000 0.0000
0.0000 3.8138 0.0000
0.0000 0.0000 8.5224
ATOMIC_POSITIONS angstrom
Ga 0.0000 1.9069 0.8259
Ga 1.9069 0.0000 7.6965
O 0.0000 0.0000 0.0000
O 1.9069 1.9069 0.0000
P 1.9069 0.0000 2.8005
P 0.0000 1.9069 5.7219
Pd 0.0000 0.0000 4.2612
Pd 1.9069 1.9069 4.2612
```

Properties
V = 123.96 Å³ per cell
Raw total energy = -5.165 eV/atom
Energy above the lowest structure with this stoichiometry = 169 meV per atom